Crystalline Zr4SiIr at its relaxed geometry. Source: Alexandria via LeMat-Bulk, functional PBE.

The structure in POSCAR format:
```
Zr4SiIr
1.0
0.0000 3.9067 3.9067
3.9067 0.0000 3.9067
3.9067 3.9067 0.0000
Zr Si Ir
4 1 1
direct
0.3751 0.8746 0.3751 Zr
0.3751 0.3751 0.8746 Zr
0.3751 0.3751 0.3751 Zr
0.8746 0.3751 0.3751 Zr
0.0000 0.0000 0.0000 Si
0.7500 0.7500 0.7500 Ir
```

Summary:
**ΔE_f (raw)**: 0.342 eV per atom
**Energy above the most stable polymorph in this dataset**: 1012.8 meV/atom
**E**: -7.7378 eV/atom
**D(E_F)**: 1.085 states/eV per atom